1.
Computed, not measured: a geometry-optimized InAsSeN2 structure at the PBE level of DFT.

Cell: 4.2331 4.2331 5.6985 Å, 90.00 90.00 90.00°
Fractional coordinates of all 5 atoms:
1 In 0.0000 0.0000 0.0000
2 As 0.5000 0.5000 0.5000
3 Se 0.0000 0.0000 0.5000
4 N 0.0000 0.5000 0.0000
5 N 0.5000 0.0000 0.0000

Properties
Polymorph energy (0 for the lowest one)   11.50 kcal/mol of atoms
ΔE_f (raw)   1.539 eV/atom
D(E_F)   3.03 states/eV/f.u.
ρ   4.83 g cm⁻³
Total DFT energy (no corrections)   -3.97 eV/atom

---

2.
Computed, not measured: a geometry-optimized TcPbSeBr2 structure at the PBE level of DFT.

Cell: 5.3388 5.3388 4.7326 Å, 90.00 90.00 90.00°
Fractional coordinates of all 5 atoms:
1 Tc 0.0000 0.0000 0.0000
2 Pb 0.5000 0.5000 0.5000
3 Se 0.0000 0.0000 0.5000
4 Br 0.0000 0.5000 0.0000
5 Br 0.5000 0.0000 0.0000

Properties
Polymorph energy (0 for the lowest one)   0.00 kcal/mol of atoms
ΔE_f (raw)   0.067 eV/atom
D(E_F)   5.22 states/eV/f.u.
ρ   6.70 g cm⁻³
Total DFT energy (no corrections)   -4.11 eV/atom

---

3.
Computed, not measured: a geometry-optimized LiBeRhBr2 structure at the PBE level of DFT.

Cell: 4.6818 4.6818 4.6558 Å, 90.00 90.00 90.00°
Fractional coordinates of all 5 atoms:
1 Li 0.0000 0.0000 0.0000
2 Be 0.5000 0.5000 0.5000
3 Rh 0.0000 0.0000 0.5000
4 Br 0.0000 0.5000 0.0000
5 Br 0.5000 0.0000 0.0000

Properties
ΔE_f (raw)   0.696 eV/atom
D(E_F)   4.38 states/eV/f.u.
ρ   4.53 g cm⁻³
Total DFT energy (no corrections)   -2.57 eV/atom

---

4.
Computed, not measured: a geometry-optimized Mg4TaIn structure at the PBE level of DFT.

Cell: 5.6642 5.6642 5.6642 Å, 60.00 60.00 60.00°
Fractional coordinates of all 6 atoms:
1 Mg 0.1241 0.1241 0.1241
2 Mg 0.1241 0.1241 0.6277
3 Mg 0.1241 0.6277 0.1241
4 Mg 0.6277 0.1241 0.1241
5 Ta 0.7500 0.7500 0.7500
6 In 0.5000 0.5000 0.5000

Properties
D(E_F)   4.10 states/eV/f.u.
Energy relative to the elements   262 kJ/mol of formula units
ρ   5.08 g cm⁻³
Total DFT energy (no corrections)   -3.04 eV/atom

---

5.
Computed, not measured: a geometry-optimized ReW2Cl structure at the PBE level of DFT.

Cell: 9.0849 9.0849 9.0849 Å, 18.52 18.52 18.52°
Fractional coordinates of all 4 atoms:
1 Re 0.0000 0.0000 0.0000
2 W 0.4946 0.4946 0.4946
3 W 0.7418 0.7418 0.7418
4 Cl 0.2329 0.2329 0.2329

Properties
Polymorph energy (0 for the lowest one)   0.91 kcal/mol of atoms
ΔE_f (raw)   0.442 eV/atom
D(E_F)   3.91 states/eV/f.u.
ρ   14.81 g cm⁻³
Total DFT energy (no corrections)   -9.61 eV/atom

---

6.
Computed, not measured: a geometry-optimized K2CuHgF6 structure at the PBE level of DFT.

Cell: 6.1154 8.6488 6.1287 Å, 90.00 90.00 90.00°
Fractional coordinates of all 20 atoms:
1 K 0.2500 0.0009 0.2496
2 K 0.2500 0.4991 0.2496
3 K 0.7500 0.5009 0.7504
4 K 0.7500 0.9991 0.7504
5 Cu 0.2500 0.7500 0.7505
6 Cu 0.7500 0.2500 0.2495
7 Hg 0.2500 0.2500 0.7495
8 Hg 0.7500 0.7500 0.2505
9 F 0.0160 0.7500 0.5175
10 F 0.0162 0.7500 0.9836
11 F 0.2500 0.5168 0.7504
12 F 0.2500 0.9832 0.7504
13 F 0.4840 0.7500 0.5175
14 F 0.4838 0.7500 0.9836
15 F 0.5162 0.2500 0.0164
16 F 0.5160 0.2500 0.4825
17 F 0.7500 0.0168 0.2496
18 F 0.7500 0.4832 0.2496
19 F 0.9838 0.2500 0.0164
20 F 0.9840 0.2500 0.4825

Properties
ΔE_f (raw)   -2.024 eV/atom
D(E_F)   2.00 states/eV/f.u.
ρ   4.68 g cm⁻³
Total DFT energy (no corrections)   -3.81 eV/atom

---

7.
Computed, not measured: a geometry-optimized KCaBi2 structure at the PBE level of DFT.

Cell: 11.3678 11.3678 11.3678 Å, 150.14 150.14 42.74°
Fractional coordinates of all 8 atoms:
1 K 0.0000 0.0000 0.0000
2 K 0.7500 0.2500 0.5000
3 Ca 0.2500 0.7500 0.5000
4 Ca 0.5000 0.5000 0.0000
5 Bi 0.2398 0.6250 0.1148
6 Bi 0.3750 0.4898 0.6148
7 Bi 0.5102 0.1250 0.8852
8 Bi 0.8750 0.7602 0.3852

Properties
Polymorph energy (0 for the lowest one)   5.71 kcal/mol of atoms
D(E_F)   0.88 states/eV/f.u.
Energy relative to the elements   -117 kJ/mol of formula units
ρ   4.54 g cm⁻³
Total DFT energy (no corrections)   -3.02 eV/atom

---

8.
Computed, not measured: a geometry-optimized NaTcPCl2 structure at the PBE level of DFT.

Cell: 4.8088 4.8088 5.4822 Å, 90.00 90.00 90.00°
Fractional coordinates of all 5 atoms:
1 Na 0.0000 0.0000 0.0000
2 Tc 0.5000 0.5000 0.5000
3 P 0.0000 0.0000 0.5000
4 Cl 0.0000 0.5000 0.0000
5 Cl 0.5000 0.0000 0.0000

Properties
Polymorph energy (0 for the lowest one)   25.13 kcal/mol of atoms
ΔE_f (raw)   0.741 eV/atom
D(E_F)   1.82 states/eV/f.u.
ρ   2.92 g cm⁻³
Total DFT energy (no corrections)   -3.42 eV/atom

---

9.
Computed, not measured: a geometry-optimized Ti2AlNi3 structure at the PBE level of DFT.

Cell: 6.6888 6.6888 2.9728 Å, 90.00 90.00 143.36°
Fractional coordinates of all 6 atoms:
1 Ti 0.1625 0.8375 0.0000
2 Ti 0.8375 0.1625 0.0000
3 Al 0.5000 0.5000 0.0000
4 Ni 0.0000 0.0000 0.5000
5 Ni 0.3254 0.6746 0.5000
6 Ni 0.6746 0.3254 0.5000

Properties
D(E_F)   4.63 states/eV/f.u.
Energy relative to the elements   -268 kJ/mol of formula units
ρ   6.25 g cm⁻³
Total DFT energy (no corrections)   -6.61 eV/atom

---

10.
Computed, not measured: a geometry-optimized Ti3SI structure at the PBE level of DFT.

Cell: 4.6061 4.6061 4.6061 Å, 90.00 90.00 90.00°
Fractional coordinates of all 5 atoms:
1 Ti 0.0000 0.0000 0.5000
2 Ti 0.0000 0.5000 0.0000
3 Ti 0.5000 0.0000 0.0000
4 S 0.0000 0.0000 0.0000
5 I 0.5000 0.5000 0.5000

Properties
Polymorph energy (0 for the lowest one)   0.00 kcal/mol of atoms
ΔE_f (raw)   -0.097 eV/atom
D(E_F)   4.70 states/eV/f.u.
ρ   5.14 g cm⁻³
Total DFT energy (no corrections)   -5.97 eV/atom

---

11.
Computed, not measured: a geometry-optimized KNaBr2O6 structure at the PBE level of DFT.

Cell: 7.3280 7.3280 7.0158 Å, 100.44 100.44 97.39°
Fractional coordinates of all 20 atoms:
1 K 0.1739 0.8261 0.7500
2 K 0.8261 0.1739 0.2500
3 Na 0.4256 0.5744 0.2500
4 Na 0.5744 0.4256 0.7500
5 Br 0.0838 0.3374 0.8284
6 Br 0.3374 0.0838 0.3284
7 Br 0.6626 0.9162 0.6716
8 Br 0.9162 0.6626 0.1716
9 O 0.0745 0.5267 0.2449
10 O 0.0850 0.1799 0.6226
11 O 0.1799 0.0850 0.1226
12 O 0.2939 0.4834 0.8837
13 O 0.4733 0.9255 0.2551
14 O 0.4834 0.2939 0.3837
15 O 0.5166 0.7061 0.6163
16 O 0.5267 0.0745 0.7449
17 O 0.7061 0.5166 0.1163
18 O 0.8201 0.9150 0.8774
19 O 0.9150 0.8201 0.3774
20 O 0.9255 0.4733 0.7551

Properties
ΔE_f (raw)   -0.585 eV/atom
D(E_F)   0.00 states/eV/f.u.
ρ   2.94 g cm⁻³
Total DFT energy (no corrections)   -4.14 eV/atom

---

12.
Computed, not measured: a geometry-optimized Li6CuB4O10 structure at the PBE level of DFT.

Cell: 3.3767 6.8151 9.3682 Å, 78.28 89.19 84.64°
Fractional coordinates of all 21 atoms:
1 Li 0.0110 0.3443 0.3759
2 Li 0.0828 0.2111 0.9704
3 Li 0.4674 0.5202 0.1461
4 Li 0.5326 0.4798 0.8539
5 Li 0.9172 0.7889 0.0296
6 Li 0.9890 0.6557 0.6241
7 Cu 0.5000 0.0000 0.5000
8 B 0.1368 0.2258 0.7114
9 B 0.3713 0.8534 0.8143
10 B 0.6287 0.1466 0.1857
11 B 0.8632 0.7742 0.2886
12 O 0.0438 0.3953 0.7676
13 O 0.1846 0.0449 0.8233
14 O 0.1904 0.2197 0.5693
15 O 0.4365 0.7202 0.9443
16 O 0.4656 0.7985 0.6842
17 O 0.5344 0.2015 0.3158
18 O 0.5635 0.2798 0.0557
19 O 0.8096 0.7803 0.4307
20 O 0.8154 0.9551 0.1767
21 O 0.9562 0.6047 0.2324

Properties
Polymorph energy (0 for the lowest one)   0.00 kcal/mol of atoms
ΔE_f (raw)   -2.165 eV/atom
ρ   2.44 g cm⁻³
Total DFT energy (no corrections)   -6.54 eV/atom

---

13.
Computed, not measured: a geometry-optimized Re2Bi2Pt structure at the PBE level of DFT.

Cell: 9.0037 9.0037 9.0037 Å, 157.16 157.16 32.53°
Fractional coordinates of all 5 atoms:
1 Re 0.2500 0.7500 0.5000
2 Re 0.7500 0.2500 0.5000
3 Bi 0.1024 0.1024 0.0000
4 Bi 0.8976 0.8976 0.0000
5 Pt 0.5000 0.5000 0.0000

Properties
Polymorph energy (0 for the lowest one)   0.00 kcal/mol of atoms
D(E_F)   3.13 states/eV/f.u.
Energy relative to the elements   305 kJ/mol of formula units
ρ   14.89 g cm⁻³
Total DFT energy (no corrections)   -7.11 eV/atom

---

14.
Computed, not measured: a geometry-optimized PmCoGe2Ru structure at the PBE level of DFT.

Cell: 5.8935 5.8935 5.8935 Å, 138.91 138.91 59.51°
Fractional coordinates of all 5 atoms:
1 Pm 0.0000 0.0000 0.0000
2 Co 0.7500 0.2500 0.5000
3 Ge 0.3704 0.3704 0.0000
4 Ge 0.6296 0.6296 0.0000
5 Ru 0.2500 0.7500 0.5000

Properties
D(E_F)   2.89 states/eV/f.u.
Energy relative to the elements   -301 kJ/mol of formula units
ρ   8.54 g cm⁻³
Total DFT energy (no corrections)   -6.70 eV/atom

---

15.
Computed, not measured: a geometry-optimized TmTh4Sc3 structure at the PBE level of DFT.

Cell: 6.0054 6.0330 7.6688 Å, 104.72 104.60 110.68°
Fractional coordinates of all 8 atoms:
1 Tm 0.0000 0.0000 0.0000
2 Th 0.1266 0.6262 0.2528
3 Th 0.2528 0.2523 0.5054
4 Th 0.7472 0.7477 0.4946
5 Th 0.8734 0.3738 0.7472
6 Sc 0.3785 0.8782 0.7570
7 Sc 0.5000 0.5000 0.0000
8 Sc 0.6215 0.1218 0.2430

Properties
D(E_F)   15.39 states/eV/f.u.
Energy relative to the elements   34 kJ/mol of formula units
ρ   8.79 g cm⁻³
Total DFT energy (no corrections)   -6.60 eV/atom

---

16.
Computed, not measured: a geometry-optimized LaBeRe2 structure at the PBE level of DFT.

Cell: 3.9410 3.9410 4.5893 Å, 90.00 90.00 90.00°
Fractional coordinates of all 4 atoms:
1 La 0.0000 0.0000 0.0000
2 Be 0.5000 0.5000 0.0000
3 Re 0.0000 0.5000 0.5000
4 Re 0.5000 0.0000 0.5000

Properties
D(E_F)   3.95 states/eV/f.u.
Energy relative to the elements   327 kJ/mol of formula units
ρ   12.12 g cm⁻³
Total DFT energy (no corrections)   -7.54 eV/atom

---

17.
Computed, not measured: a geometry-optimized Sr2Fe structure at the PBE level of DFT.

Cell: 14.3690 14.3690 4.1297 Å, 90.00 90.00 163.76°
Fractional coordinates of all 6 atoms:
1 Sr 0.0662 0.9338 0.7500
2 Sr 0.1954 0.8046 0.2500
3 Sr 0.8046 0.1954 0.7500
4 Sr 0.9338 0.0662 0.2500
5 Fe 0.4804 0.5196 0.7500
6 Fe 0.5196 0.4804 0.2500

Properties
D(E_F)   3.80 states/eV/f.u.
Energy relative to the elements   120 kJ/mol of formula units
ρ   3.22 g cm⁻³
Total DFT energy (no corrections)   -3.53 eV/atom

---

18.
Computed, not measured: a geometry-optimized LiNb2TlSb structure at the PBE level of DFT.

Cell: 5.2676 5.2676 4.4896 Å, 90.00 90.00 90.00°
Fractional coordinates of all 5 atoms:
1 Li 0.0000 0.0000 0.0000
2 Nb 0.0000 0.5000 0.5000
3 Nb 0.5000 0.0000 0.5000
4 Tl 0.0000 0.0000 0.5000
5 Sb 0.5000 0.5000 0.0000

Properties
ΔE_f (raw)   1.163 eV/atom
D(E_F)   7.74 states/eV/f.u.
ρ   6.92 g cm⁻³
Total DFT energy (no corrections)   -4.55 eV/atom

---

19.
Computed, not measured: a geometry-optimized EuPuAu structure at the PBE level of DFT.

Cell: 6.9138 6.9138 6.9138 Å, 149.16 149.16 44.18°
Fractional coordinates of all 3 atoms:
1 Eu 0.0000 0.0000 0.0000
2 Pu 0.2783 0.2783 0.0000
3 Au 0.6453 0.6453 0.0000

Properties
D(E_F)   18.42 states/eV/f.u.
Energy relative to the elements   -70 kJ/mol of formula units
ρ   11.37 g cm⁻³
Total DFT energy (no corrections)   -9.54 eV/atom

---

20.
Computed, not measured: a geometry-optimized CaPrScCd structure at the PBE level of DFT.

Cell: 5.5086 5.5086 5.5086 Å, 60.00 60.00 60.00°
Fractional coordinates of all 4 atoms:
1 Ca 0.0000 0.0000 0.0000
2 Pr 0.5000 0.5000 0.5000
3 Sc 0.2500 0.2500 0.2500
4 Cd 0.7500 0.7500 0.7500

Properties
D(E_F)   4.31 states/eV/f.u.
Energy relative to the elements   1 kJ/mol of formula units
ρ   4.75 g cm⁻³
Total DFT energy (no corrections)   -3.50 eV/atom